Below is a relaxed structure of Zr5Sc3, with properties calculated at the PBE level. Values from VASP.

```
&SYSTEM
  ibrav = 0, nat = 8, ntyp = 2
/
ATOMIC_SPECIES
Zr 91.22 Zr.upf
Sc 44.96 Sc.upf
CELL_PARAMETERS angstrom
3.241 0.000 0.000
0.000 5.150 0.000
0.000 0.000 11.342
ATOMIC_POSITIONS crystal
Zr 0.000 0.000 0.000
Zr 0.000 0.000 0.491
Zr 0.000 0.500 0.329
Zr 0.500 0.000 0.245
Zr 0.500 0.500 0.081
Sc 0.000 0.500 0.836
Sc 0.500 0.000 0.743
Sc 0.500 0.500 0.577
```

- energy relative to the lowest polymorph listed for this composition (meV/atom) = 0
- DOS at the Fermi energy (states/eV/f.u.) = 9.96
- size of the total moment (μB/f.u.) = 0.0
- ΔE_f (kJ per mole of atoms) = -1.3
- density (g/cm3) = 5.18

***

Below is a relaxed structure of BaSi2H, with properties calculated at the PBE level. Values from VASP.

```
&SYSTEM
  ibrav = 0, nat = 8, ntyp = 3
/
ATOMIC_SPECIES
Ba 137.33 Ba.upf
Si 28.09 Si.upf
H 1.01 H.upf
CELL_PARAMETERS angstrom
-3.026 3.026 4.258
3.026 -3.026 4.258
3.026 3.026 -4.258
ATOMIC_POSITIONS crystal
Ba 0.375 0.625 0.750
Ba 0.625 0.375 0.250
Si 0.000 0.000 0.000
Si 0.000 0.000 0.500
Si 0.000 0.500 0.000
Si 0.500 0.000 0.500
H 0.125 0.875 0.250
H 0.875 0.125 0.750
```

- energy relative to the lowest polymorph listed for this composition (meV/atom) = 0
- DOS at the Fermi energy (states/eV/f.u.) = 0.48
- size of the total moment (μB/f.u.) = 0.0
- density (g/cm3) = 4.14

***

Below is a relaxed structure of LiTb3Rh, with properties calculated at the PBE level. Values from VASP.

```
&SYSTEM
  ibrav = 0, nat = 20, ntyp = 3
/
ATOMIC_SPECIES
Li 6.94 Li.upf
Tb 158.93 Tb.upf
Rh 102.91 Rh.upf
CELL_PARAMETERS angstrom
8.007 -4.993 0.000
8.007 4.993 0.000
0.000 0.000 6.376
ATOMIC_POSITIONS crystal
Li 0.000 0.000 0.190
Li 0.000 0.000 0.810
Li 0.500 0.500 0.310
Li 0.500 0.500 0.690
Tb 0.073 0.707 0.500
Tb 0.199 0.199 0.000
Tb 0.207 0.573 0.000
Tb 0.293 0.927 0.500
Tb 0.301 0.301 0.500
Tb 0.427 0.793 0.000
Tb 0.573 0.207 0.000
Tb 0.699 0.699 0.500
Tb 0.707 0.073 0.500
Tb 0.793 0.427 0.000
Tb 0.801 0.801 0.000
Tb 0.927 0.293 0.500
Rh 0.000 0.500 0.250
Rh 0.000 0.500 0.750
Rh 0.500 0.000 0.250
Rh 0.500 0.000 0.750
```

- energy relative to the lowest polymorph listed for this composition (meV/atom) = 0
- DOS at the Fermi energy (states/eV/f.u.) = 5.32
- size of the total moment (μB/f.u.) = 0.0
- ΔE_f (kJ per mole of atoms) = -30.7
- density (g/cm3) = 7.64

***

Below is a relaxed structure of ThPaAgHg, with properties calculated at the PBE level. Values from VASP.

```
&SYSTEM
  ibrav = 0, nat = 4, ntyp = 4
/
ATOMIC_SPECIES
Th 232.04 Th.upf
Pa 231.04 Pa.upf
Ag 107.87 Ag.upf
Hg 200.59 Hg.upf
CELL_PARAMETERS angstrom
0.000 3.733 3.733
3.733 0.000 3.733
3.733 3.733 0.000
ATOMIC_POSITIONS crystal
Th 0.000 0.000 0.000
Pa 0.500 0.500 0.500
Ag 0.750 0.750 0.750
Hg 0.250 0.250 0.250
```

- DOS at the Fermi energy (states/eV/f.u.) = 8.25
- size of the total moment (μB/f.u.) = 1.6
- ΔE_f (kJ per mole of atoms) = 15.0
- density (g/cm3) = 12.31

***

Below is a relaxed structure of LiAsP4, with properties calculated at the PBE level. Values from VASP.

```
&SYSTEM
  ibrav = 0, nat = 6, ntyp = 3
/
ATOMIC_SPECIES
Li 6.94 Li.upf
As 74.92 As.upf
P 30.97 P.upf
CELL_PARAMETERS angstrom
0.000 3.803 3.803
3.803 0.000 3.803
3.803 3.803 0.000
ATOMIC_POSITIONS crystal
Li 0.000 0.000 0.000
As 0.250 0.250 0.250
P 0.180 0.607 0.607
P 0.607 0.180 0.607
P 0.607 0.607 0.180
P 0.607 0.607 0.607
```

- DOS at the Fermi energy (states/eV/f.u.) = 4.46
- size of the total moment (μB/f.u.) = 0.0
- ΔE_f (kJ per mole of atoms) = 37.5
- density (g/cm3) = 3.11

***

Below is a relaxed structure of Np2TlAgSe4, with properties calculated at the PBE level. Values from VASP.

```
&SYSTEM
  ibrav = 0, nat = 16, ntyp = 4
/
ATOMIC_SPECIES
Np 237.00 Np.upf
Tl 204.38 Tl.upf
Ag 107.87 Ag.upf
Se 78.96 Se.upf
CELL_PARAMETERS angstrom
2.114 -6.995 0.000
2.114 6.995 0.000
0.000 0.000 14.864
ATOMIC_POSITIONS crystal
Np 0.130 0.870 0.565
Np 0.130 0.870 0.935
Np 0.870 0.130 0.065
Np 0.870 0.130 0.435
Tl 0.379 0.621 0.750
Tl 0.621 0.379 0.250
Ag 0.336 0.664 0.250
Ag 0.664 0.336 0.750
Se 0.053 0.947 0.750
Se 0.233 0.767 0.102
Se 0.233 0.767 0.398
Se 0.500 0.500 0.000
Se 0.500 0.500 0.500
Se 0.767 0.233 0.602
Se 0.767 0.233 0.898
Se 0.947 0.053 0.250
```

- DOS at the Fermi energy (states/eV/f.u.) = 22.30
- uncorrected formation energy (meV/atom) = -815
- size of the total moment (μB/f.u.) = 8.0
- density (g/cm3) = 8.33

***

Number 1: DFT total energy -61.841 eV/cell. Number 2: DFT total energy -30.676 eV/cell. Number 3: DFT total energy -98.981 eV/cell. Number 4: DFT total energy -19.445 eV/cell. Number 5: DFT total energy -25.873 eV/cell. Number 6: DFT total energy -103.122 eV/cell.